The following is a DFT calculation (PBE) of a geometry-optimized AcP2PbS8 structure.

Cell lengths 6.0270, 6.0270, 9.6507 Å; angles 90.00, 90.00, 120.00 degrees
Element x y z (fractional)
Ac1 0.0000 0.0000 0.0000
P1 0.3333 0.6667 0.2761
P2 0.6667 0.3333 0.7239
Pb1 0.0000 0.0000 0.5000
S1 0.0056 0.6435 0.7863
S2 0.3333 0.6667 0.4872
S3 0.3565 0.3621 0.7863
S4 0.3621 0.0056 0.2137
S5 0.6379 0.9944 0.7863
S6 0.6435 0.6379 0.2137
S7 0.6667 0.3333 0.5128
S8 0.9944 0.3565 0.2137

Summary:
symmetry	P-3, No. 147
uncorrected formation energy	-49.8	kJ/mol of atoms